A relaxed structure of Ti2GaSn. Source: Alexandria via LeMat-Bulk, functional PBE-GGA.

a = 4.1321 Å, b = 4.1321 Å, c = 4.1252 Å
α = 90.00°, β = 90.00°, γ = 90.00°
Fractional positions:
Ti  0.0000  0.5000  0.0000
Ti  0.5000  0.0000  0.0000
Ga  0.0000  0.0000  0.5000
Sn  0.5000  0.5000  0.5000

Summary:
* energy relative to the elements: -0.332 eV per atom